Entry A
4
Lattice="-3.0455 -3.0979 -1.5757 -3.5772 -1.2704 2.6352 -4.2815 1.3313 -1.1184" Properties=species:S:1:pos:R:3 comment="PBE+U VW2F, relaxed" n_ef_per_ev_cell=2.2 magmom_total_mub_per_fu=4.0 pbc="T T T"
V -5.4521 -1.5185 -0.0295
W -2.7261 -0.7593 -0.0147
W -8.1782 -2.2778 -0.0442
F 0.0000 0.0000 0.0000

---

Entry B
8
Lattice="6.8049 0.0000 0.0000 0.0000 6.8049 0.0000 3.4024 3.4024 2.9825" Properties=species:S:1:pos:R:3 comment="PBE+U VW2F, relaxed" n_ef_per_ev_cell=4.5 magmom_total_mub_per_fu=1.7 pbc="T T T"
V 0.0000 0.0000 0.0000
V 6.8049 3.4024 1.4912
W 4.5976 1.7012 0.7456
W 2.2073 5.1036 0.7456
W 5.1036 5.6097 2.2369
W 8.5061 8.0000 2.2369
F 3.4024 3.4024 0.0000
F 3.4024 6.8049 1.4912

---

Short version: entry B is the most stable of them.

---

Entry A
5
Lattice="4.8275 0.0000 0.0000 0.0000 4.8275 0.0000 0.0000 0.0000 4.8275" Properties=species:S:1:pos:R:3 comment="PBE+U VW3F, relaxed" n_ef_per_ev_cell=1.6 magmom_total_mub_per_fu=3.8 pbc="T T T"
V 0.0000 0.0000 0.0000
W 0.0000 2.4138 0.0000
W 0.0000 0.0000 2.4138
W 2.4138 0.0000 0.0000
F 2.4138 2.4138 2.4138

---

Entry B
5
Lattice="-0.0171 4.2557 0.6544 -1.1314 0.6270 -4.1069 -4.1545 -0.1883 1.1157" Properties=species:S:1:pos:R:3 comment="PBE+U VW3F, relaxed" n_ef_per_ev_cell=3.3 magmom_total_mub_per_fu=2.3 pbc="T T T"
V -2.6515 2.3472 -1.1684
W -0.5657 0.3135 -2.0535
W -2.0772 -0.0941 0.5579
W -0.0086 2.1279 0.3272
F 0.0000 0.0000 0.0000

---

Short version: entry B is the most stable of them.

---

Entry A
14
Lattice="-1.1975 2.6309 4.9579 3.5673 -2.1157 3.9667 5.4958 5.1950 1.5414" Properties=species:S:1:pos:R:3 comment="PBE+U YVF5, relaxed" n_ef_per_ev_cell=0.0 magmom_total_mub_per_fu=3.0 pbc="T T T"
Y 2.3251 1.7892 4.8963
Y 5.5405 3.9210 5.5698
V 0.0000 0.0000 0.0000
V 2.7479 2.5975 0.7707
F 2.3622 1.1788 6.9514
F 4.5968 1.7859 4.9190
F 5.3637 3.5237 7.6693
F 0.7423 3.3660 5.2255
F 2.2839 -0.4295 4.4096
F 5.5816 6.1397 6.0564
F 7.1233 2.3443 5.2405
F 2.5019 2.1865 2.7967
F 3.2688 3.9244 5.5471
F 5.5034 4.5314 3.5147

---

Entry B
7
Lattice="-2.0916 3.4767 4.2150 2.0916 -3.4767 4.2150 2.0916 3.4767 -4.2150" Properties=species:S:1:pos:R:3 comment="PBE+U YVF5, relaxed" n_ef_per_ev_cell=0.0 magmom_total_mub_per_fu=3.0 pbc="T T T"
Y 0.0000 0.0000 4.2150
V 0.0000 0.0000 0.0000
F 0.0000 2.2200 4.2150
F 2.0916 1.2567 0.0000
F 0.0000 0.0000 6.3982
F 0.0000 0.0000 2.0318
F 0.0000 3.4767 0.0000

---

Short version: entry A is the most stable of them.

---

Entry A
8
Lattice="-5.4648 2.5841 3.8637 -3.9817 -5.6794 -1.8332 -3.4805 -3.3824 4.0001" Properties=species:S:1:pos:R:3 comment="PBE+U Y2VF, relaxed" n_ef_per_ev_cell=7.2 magmom_total_mub_per_fu=3.5 pbc="T T T"
Y -4.2752 -0.1807 2.8264
Y -4.5500 -3.8319 0.6965
Y -6.5231 -4.2256 3.5910
Y -10.5059 -4.7170 4.9472
V 0.0000 0.0000 0.0000
V -6.8343 -1.1729 4.4395
F -4.7233 -1.5476 1.0152
F -6.0928 -5.3047 1.5911

---

Entry B
4
Lattice="-0.1621 -2.2202 4.5852 -4.0471 -2.7955 1.3363 0.4192 -5.0643 0.3956" Properties=species:S:1:pos:R:3 comment="PBE+U Y2VF, relaxed" n_ef_per_ev_cell=3.4 magmom_total_mub_per_fu=5.0 pbc="T T T"
Y -0.9475 -2.5200 1.5793
Y -2.8425 -7.5600 4.7378
V -1.8950 -5.0400 3.1585
F 0.0000 0.0000 0.0000

---

Short version: entry A is the most stable of them.

---

Entry A
12
Lattice="5.2324 0.0873 0.1084 0.1189 5.5586 0.0458 -1.3830 -1.9010 5.3874" Properties=species:S:1:pos:R:3 comment="PBE+U VZnF4, relaxed" magmom_total_mub_per_fu=3.0 pbc="T T T"
V 2.6162 0.0437 0.0542
V 0.0595 2.7793 0.0229
Zn 2.8143 3.1177 2.2855
Zn 1.1541 0.6272 3.2561
F 2.6011 4.2063 3.8928
F 3.6241 1.7455 0.9102
F 1.3672 -0.4614 1.6489
F 4.0298 4.2650 1.1343
F 0.3443 1.9994 4.6314
F 2.9517 1.4688 3.6636
F -0.0615 -0.5201 4.4074
F 1.0166 2.2761 1.8781

---

Entry B
12
Lattice="-1.4319 4.0808 2.4620 -4.4996 -0.3102 -2.1028 -3.0120 -5.4284 7.2458" Properties=species:S:1:pos:R:3 comment="PBE+U VZnF4, relaxed" n_ef_per_ev_cell=12.8 magmom_total_mub_per_fu=3.0 pbc="T T T"
V 0.0000 0.0000 0.0000
V -1.5060 -2.7142 3.6229
Zn -3.0028 -1.5122 0.7600
Zn -2.9749 -2.0309 6.6654
F -3.9225 -3.7273 6.6386
F -7.3123 -2.0601 6.4784
F -2.6524 -1.3508 2.6646
F -5.8758 -2.5008 3.4696
F -3.7884 -0.4560 5.8692
F -3.9136 -0.0766 -0.1810
F -2.7387 2.5482 2.2739
F -5.5704 0.9918 3.2067

---

Short version: entry A is the most stable of them.

---

Entry A
4
Lattice="1.5519 3.0368 2.9957 -1.7136 0.1235 4.2016 2.5194 -1.3671 3.5198" Properties=species:S:1:pos:R:3 comment="PBE+U VZn2F, relaxed" n_ef_per_ev_cell=6.4 magmom_total_mub_per_fu=3.5 pbc="T T T"
Zn 0.5894 0.4483 2.6793
Zn 1.7683 1.3450 8.0378
V 1.1789 0.8967 5.3585
F 0.0000 0.0000 0.0000

---

Entry B
8
Lattice="7.3237 0.0000 0.0000 0.0000 7.3237 0.0000 3.6618 3.6618 2.3420" Properties=species:S:1:pos:R:3 comment="PBE+U VZn2F, relaxed" n_ef_per_ev_cell=3.0 magmom_total_mub_per_fu=3.4 pbc="T T T"
Zn 5.1913 1.8309 0.5855
Zn 2.1324 5.4928 0.5855
Zn 5.4928 5.7942 1.7565
Zn 9.1546 8.8531 1.7565
V 0.0000 0.0000 0.0000
V 7.3237 3.6618 1.1710
F 3.6618 3.6618 0.0000
F 3.6618 7.3237 1.1710

---

Short version: entry B is the most stable of them.

---

Entry A
4
Lattice="7.4799 2.1208 1.3457 7.8643 -0.6245 0.1417 7.5067 1.7779 -1.6569" Properties=species:S:1:pos:R:3 comment="PBE+U ZrVF2, relaxed" n_ef_per_ev_cell=2.2 magmom_total_mub_per_fu=3.6 pbc="T T T"
V 0.0000 0.0000 0.0000
Zr 11.4255 1.6371 -0.0848
F 20.6283 2.9557 -0.1530
F 2.2226 0.3185 -0.0165

---

Entry B
8
Lattice="4.0710 0.0000 0.0000 0.0000 4.0710 0.0000 2.0355 2.0355 7.5193" Properties=species:S:1:pos:R:3 comment="PBE+U ZrVF2, relaxed" n_ef_per_ev_cell=3.2 magmom_total_mub_per_fu=2.7 pbc="T T T"
V 2.0355 2.0355 0.0000
V 2.0355 4.0710 3.7597
Zr 0.0000 0.0000 0.0000
Zr 4.0710 2.0355 3.7597
F 3.2516 1.0177 1.8798
F 0.8194 3.0532 1.8798
F 3.0532 2.8549 5.6395
F 5.0887 5.2871 5.6395

---

Entry C
4
Lattice="-0.6417 -0.8515 6.4232 1.2272 -3.5309 5.3311 2.7410 -0.4871 5.8859" Properties=species:S:1:pos:R:3 comment="PBE+U ZrVF2, relaxed" n_ef_per_ev_cell=1.4 magmom_total_mub_per_fu=1.1 pbc="T T T"
V 1.6632 -2.4348 8.8201
Zr 0.0000 0.0000 0.0000
F 2.9160 -4.2686 15.4635
F 0.4105 -0.6009 2.1767

---

Short version: entry C is the most stable of them.

---

Entry A
5
Lattice="-2.2925 -3.3157 2.1451 3.9474 -1.9971 1.1318 0.1163 2.4226 3.8689" Properties=species:S:1:pos:R:3 comment="PBE+U Zr3VF, relaxed" n_ef_per_ev_cell=5.4 magmom_total_mub_per_fu=1.3 pbc="T T T"
V 0.8856 -1.4451 3.5729
Zr 1.9737 -0.9985 0.5659
Zr 0.0582 1.2113 1.9345
Zr -1.1463 -1.6579 1.0726
F 0.0000 0.0000 0.0000

---

Entry B
5
Lattice="-1.4745 -3.3562 -3.4009 -2.7700 -2.2996 3.4704 -3.8933 2.9073 -1.1811" Properties=species:S:1:pos:R:3 comment="PBE+U Zr3VF, relaxed" n_ef_per_ev_cell=6.2 magmom_total_mub_per_fu=2.2 pbc="T T T"
V 0.0000 0.0000 0.0000
Zr -1.3850 -1.1498 1.7352
Zr -1.9466 1.4536 -0.5906
Zr -0.7372 -1.6781 -1.7005
F -4.0689 -1.3743 -0.5558

---

Short version: entry A is the most stable of them.

---

Entry A
8
Lattice="-3.4689 4.2875 -3.6872 -4.3614 -4.7818 -1.4573 -5.7197 0.5861 0.0944" Properties=species:S:1:pos:R:3 comment="PBE+U ZrV2F, relaxed" n_ef_per_ev_cell=5.7 magmom_total_mub_per_fu=5.1 pbc="T T T"
V -3.7710 1.7686 -2.0675
V -4.9615 -1.8462 -1.7436
V -7.6940 -0.2588 -2.0147
V -10.6734 0.5200 -4.2743
Zr 0.0000 0.0000 0.0000
Zr -6.5519 2.3132 -3.0825
F -3.9151 -0.2472 -2.5722
F -6.9981 -2.2214 -1.9675

---

Entry B
4
Lattice="0.0000 3.3769 3.3769 3.3769 0.0000 3.3769 3.3769 3.3769 0.0000" Properties=species:S:1:pos:R:3 comment="PBE+U ZrV2F, relaxed" n_ef_per_ev_cell=5.9 magmom_total_mub_per_fu=7.7 pbc="T T T"
V 1.6884 1.6884 1.6884
V 5.0653 5.0653 5.0653
Zr 3.3769 3.3769 3.3769
F 0.0000 0.0000 0.0000

---

Short version: entry A is the most stable of them.

---

Entry A
11
Lattice="5.1837 -0.4437 -0.3366 -0.6420 5.6429 -0.3408 -0.6420 1.1912 5.5262" Properties=species:S:1:pos:R:3 comment="PBE+U ZrV2F8, relaxed" magmom_total_mub_per_fu=6.0 pbc="T T T"
Zr 0.0000 0.0000 0.0000
V 1.5946 4.4445 3.3723
V 2.3052 1.9459 1.4764
F 0.5617 2.8258 5.1284
F 3.3380 0.6905 3.5082
F 0.0702 5.6364 4.2767
F 3.8296 0.7539 0.5721
F 0.5617 5.6999 1.3405
F 3.3380 3.5646 -0.2797
F 3.2041 3.4327 2.6046
F 0.6957 2.9576 2.2441

---

Entry B
11
Lattice="-0.6544 -3.5311 -2.4879 0.5364 -4.2181 5.8450 -5.1625 2.2762 -2.3544" Properties=species:S:1:pos:R:3 comment="PBE+U ZrV2F8, relaxed" n_ef_per_ev_cell=0.0 magmom_total_mub_per_fu=6.0 pbc="T T T"
F -0.8260 -2.9321 2.4287
F -4.4543 -2.5410 -1.4260
F -1.0295 -5.9824 2.8601
F -1.8058 -0.8405 -0.4412
F -3.9372 -1.9571 1.5606
F -4.2509 0.5094 -1.8574
F -3.4746 -4.6325 1.4439
F -1.3432 -3.5159 -0.5578
Zr -5.1624 2.2762 -2.3544
V -3.8926 -0.7978 -0.2201
V -1.3876 -4.6752 1.2228

---

Short version: entry B is the most stable of them.

---

Entry A
6
Lattice="-1.8653 2.2055 4.8991 1.8653 -2.2055 4.8991 1.8653 2.2055 -4.8991" Properties=species:S:1:pos:R:3 comment="PBE+U WF5, relaxed" n_ef_per_ev_cell=0.0 magmom_total_mub_per_fu=1.0 pbc="T T T"
W 0.0000 0.0000 0.0000
F 1.8653 1.0373 0.0000
F 0.0000 1.1682 4.8991
F 0.0000 0.0000 7.8894
F 0.0000 0.0000 1.9089
F 0.0000 2.2055 0.0000

---

Entry B
24
Lattice="9.7213 0.0000 0.0000 0.0000 5.6256 0.0807 0.0000 2.9638 7.2234" Properties=species:S:1:pos:R:3 comment="PBE+U WF5, relaxed" n_ef_per_ev_cell=0.0 magmom_total_mub_per_fu=1.0 pbc="T T T"
W 7.2928 2.8447 3.7005
W 2.4322 7.2265 7.2152
W 2.4285 5.7446 3.6036
W 7.2891 1.3628 0.0888
F 8.1805 4.4914 3.3758
F 3.3198 2.6161 0.3165
F 1.5408 4.0979 3.9282
F 6.4015 5.9733 6.9875
F 5.8050 3.5900 2.7824
F 0.9444 3.5175 0.9099
F 3.9163 4.9994 4.5216
F 8.7769 5.0719 6.3941
F 3.9266 7.9737 6.3046
F 8.7873 2.0975 4.6111
F 5.7947 0.6156 0.9994
F 0.9340 6.4918 2.6929
F 1.5473 3.2478 6.8039
F 6.4080 6.8234 4.1118
F 8.1740 5.3415 0.5001
F 3.3133 1.7659 3.1923
F 6.6257 3.5846 5.5062
F 1.7651 6.4866 5.4095
F 3.0956 5.0048 1.7979
F 7.9562 2.1027 1.8945

---

Entry C
12
Lattice="1.8026 -5.6376 0.0000 1.8026 5.6376 0.0000 0.0000 0.0000 8.5381" Properties=species:S:1:pos:R:3 comment="PBE+U WF5, relaxed" n_ef_per_ev_cell=0.0 magmom_total_mub_per_fu=1.0 pbc="T T T"
W 1.8026 0.0000 0.0000
W 1.8026 0.0000 4.2691
F 1.8026 -0.2432 6.4036
F 1.8026 0.2432 2.1345
F 1.8026 -4.7883 0.7241
F 1.8026 4.7883 7.8140
F 1.8026 -1.7557 3.5264
F 1.8026 1.7557 5.0117
F 1.8026 1.7557 7.7954
F 1.8026 -1.7557 0.7427
F 1.8026 -4.7883 3.5449
F 1.8026 4.7883 4.9932

---

Short version: entry B is the most stable of them.